VASP calculation (PBE) on an optimized crystal structure of Na2PuMn3S6.

Computed properties:
Its raw formation energy is -21.826 kcal/mol of atoms. The value obtained for the total magnetization is 19.01 μB/f.u. The density of states at the Fermi level comes out at 0.7748 states/eV per atom.

abc: 6.544 11.405 6.625
angles: 90.00 109.29 90.00
Space group C2/m (No. 12)
Inequivalent atoms, fractional coordinates:
Na1 0.000 0.169 0.000 x4
Pu1 0.000 0.500 0.000 x2
Mn1 0.000 0.000 0.500 x2
Mn2 0.000 0.338 0.500 x4
S1 0.236 0.500 0.729 x4
S2 0.246 0.162 0.717 x8

=====

VASP calculation (PBE) on an optimized crystal structure of NaPuMnS3.

Computed properties:
Its raw formation energy is -26.841 kcal/mol of atoms. The value obtained for the total magnetization is 0.19 μB/f.u. The density of states at the Fermi level comes out at 1.6001 states/eV per atom.

abc: 7.954 4.022 9.988
angles: 90.00 105.42 90.00
Space group P2_1/m (No. 11)
Inequivalent atoms, fractional coordinates:
Na1 0.180 0.250 0.157 x2
Pu1 0.325 0.750 0.847 x2
Mn1 0.073 0.250 0.610 x2
S1 0.085 0.250 0.848 x2
S2 0.211 0.750 0.558 x2
S3 0.436 0.750 0.133 x2

=====

VASP calculation (PBE) on an optimized crystal structure of Na2Pu2MnS6.

Computed properties:
Its raw formation energy is -27.638 kcal/mol of atoms. The value obtained for the total magnetization is 7.05 μB/f.u. The density of states at the Fermi level comes out at 1.6176 states/eV per atom.

abc: 6.623 11.240 7.124
angles: 90.00 107.77 90.00
Space group C2/m (No. 12)
Inequivalent atoms, fractional coordinates:
Na1 0.000 0.169 0.000 x4
Pu1 0.000 0.334 0.500 x4
Mn1 0.000 0.000 0.500 x2
S1 0.220 0.150 0.711 x8
S2 0.223 0.000 0.290 x4

=====

VASP calculation (PBE) on an optimized crystal structure of Na2PuMnSe4.

Computed properties:
Its raw formation energy is -23.639 kcal/mol of atoms. The value obtained for the total magnetization is 0.08 μB/f.u. The density of states at the Fermi level comes out at 1.7592 states/eV per atom.

abc: 6.904 4.039 7.403
angles: 90.00 109.07 90.00
Space group P2/m (No. 10)
Inequivalent atoms, fractional coordinates:
Na1 0.000 0.000 0.000 x1
Na2 0.500 0.500 0.000 x1
Pu1 0.000 0.500 0.500 x1
Mn1 0.500 0.000 0.500 x1
Se1 0.249 0.000 0.730 x2
Se2 0.281 0.500 0.289 x2

=====

VASP calculation (PBE) on an optimized crystal structure of Na4Pu3MnSe8.

Computed properties:
Its raw formation energy is -28.343 kcal/mol of atoms. The value obtained for the total magnetization is 19.00 μB/f.u. The density of states at the Fermi level comes out at 1.7622 states/eV per atom.

abc: 8.2666 8.2666 20.7626
angles: 90.00 90.00 120.00
Space group R-3m (No. 166, hexagonal axes)
Inequivalent atoms, fractional coordinates:
Na1 0.0000 0.0000 0.0000 x3
Na2 0.0000 0.5000 0.0000 x9
Pu1 0.0000 0.5000 0.5000 x9
Mn1 0.0000 0.0000 0.5000 x3
Se1 0.0000 0.0000 0.2440 x6
Se2 0.0122 0.5061 0.2408 x18

=====

VASP calculation (PBE) on an optimized crystal structure of Na3PuMn2Se6.

Computed properties:
Its raw formation energy is -21.616 kcal/mol of atoms. The value obtained for the total magnetization is 13.00 μB/f.u. The density of states at the Fermi level comes out at 0.7459 states/eV per atom.

abc: 6.830 11.795 7.340
angles: 90.00 108.16 90.00
Space group C2/m (No. 12)
Inequivalent atoms, fractional coordinates:
Na1 0.000 0.000 0.000 x2
Na2 0.000 0.339 0.000 x4
Pu1 0.000 0.500 0.500 x2
Mn1 0.000 0.168 0.500 x4
Se1 0.216 0.000 0.713 x4
Se2 0.249 0.323 0.715 x8

=====

VASP calculation (PBE) on an optimized crystal structure of Na3Pu2MnTe6.

Computed properties:
Its raw formation energy is -19.077 kcal/mol of atoms. The value obtained for the total magnetization is 14.00 μB/f.u. The density of states at the Fermi level comes out at 1.8335 states/eV per atom.

abc: 7.579 13.149 7.881
angles: 90.00 108.74 90.00
Space group C2/m (No. 12)
Inequivalent atoms, fractional coordinates:
Na1 0.000 0.000 0.000 x2
Na2 0.000 0.329 0.000 x4
Pu1 0.000 0.166 0.500 x4
Mn1 0.000 0.500 0.500 x2
Te1 0.233 0.342 0.725 x8
Te2 0.239 0.500 0.276 x4

=====

VASP calculation (PBE) on an optimized crystal structure of NaPuMnTe3.

Computed properties:
Its raw formation energy is -16.065 kcal/mol of atoms. The value obtained for the total magnetization is 9.65 μB/f.u. The density of states at the Fermi level comes out at 2.3331 states/eV per atom.

abc: 8.961 4.454 10.146
angles: 90.00 103.72 90.00
Space group P2_1/m (No. 11)
Inequivalent atoms, fractional coordinates:
Na1 0.194 0.250 0.215 x2
Pu1 0.328 0.750 0.849 x2
Mn1 0.084 0.250 0.594 x2
Te1 0.086 0.250 0.857 x2
Te2 0.228 0.750 0.525 x2
Te3 0.436 0.750 0.165 x2

=====

VASP calculation (PBE) on an optimized crystal structure of RbNa3Mn.

Computed properties:
As for the formation energy: 1.053 eV per atom. The value obtained for the total magnetization is 4.48 μB/f.u. The density of states at the Fermi level comes out at 1.0188 states/eV per atom.

abc: 6.216 6.216 6.216
angles: 90.00 90.00 90.00
Space group Pm-3m (No. 221)
Inequivalent atoms, fractional coordinates:
Rb1 0.000 0.000 0.000 x1
Na1 0.000 0.000 0.500 x3
Mn1 0.500 0.500 0.500 x1

=====

VASP calculation (PBE) on an optimized crystal structure of RbNaMn3.

Computed properties:
As for the formation energy: 2.015 eV per atom. The value obtained for the total magnetization is 13.43 μB/f.u. The density of states at the Fermi level comes out at 2.0599 states/eV per atom.

abc: 5.974 5.974 5.974
angles: 90.00 90.00 90.00
Space group Pm-3m (No. 221)
Inequivalent atoms, fractional coordinates:
Rb1 0.000 0.000 0.000 x1
Na1 0.500 0.500 0.500 x1
Mn1 0.000 0.000 0.500 x3

=====

VASP calculation (PBE) on an optimized crystal structure of RbNa3Mn.

Computed properties:
As for the formation energy: 0.536 eV per atom. The value obtained for the total magnetization is 4.47 μB/f.u. The density of states at the Fermi level comes out at 0.8814 states/eV per atom.

abc: 6.119 6.119 6.119
angles: 90.00 90.00 90.00
Space group Pm-3m (No. 221)
Inequivalent atoms, fractional coordinates:
Rb1 0.000 0.000 0.000 x1
Na1 0.000 0.500 0.500 x3
Mn1 0.500 0.500 0.500 x1

=====

VASP calculation (PBE) on an optimized crystal structure of RbNaMn3.

Computed properties:
As for the formation energy: 1.525 eV per atom. The value obtained for the total magnetization is 13.31 μB/f.u. The density of states at the Fermi level comes out at 1.9286 states/eV per atom.

abc: 5.505 5.505 5.505
angles: 90.00 90.00 90.00
Space group Pm-3m (No. 221)
Inequivalent atoms, fractional coordinates:
Rb1 0.000 0.000 0.000 x1
Na1 0.500 0.500 0.500 x1
Mn1 0.000 0.500 0.500 x3